# 1
VASP calculation (GGA-PBE) on a relaxed BiRh2Cl crystal.

Summary:
The value obtained for the total moment is 0.00 μB per atom. The calculation puts the energy above the most stable polymorph in this dataset at 0.000 eV/atom. As for the raw formation energy: 0.234 eV/atom.

a = 7.904 Å, b = 7.904 Å, c = 7.904 Å
α = 143.41°, β = 143.41°, γ = 52.71°
Element x y z (fractional)
Bi 0.000 0.000 0.000
Bi 0.750 0.250 0.500
Rh 0.224 0.625 0.099
Rh 0.375 0.474 0.599
Rh 0.526 0.125 0.901
Rh 0.875 0.776 0.401
Cl 0.250 0.750 0.500
Cl 0.500 0.500 0.000

=====

# 2
VASP calculation (GGA-PBE) on a relaxed Bi2RhCl crystal.

Summary:
The value obtained for the total moment is 0.00 μB per atom. The calculation puts the energy above the most stable polymorph in this dataset at 0.284 eV/atom. As for the raw formation energy: -0.039 eV/atom.

a = 7.982 Å, b = 7.982 Å, c = 7.982 Å
α = 132.47°, β = 132.47°, γ = 69.49°
Element x y z (fractional)
Bi 0.060 0.625 0.935
Bi 0.375 0.310 0.435
Bi 0.690 0.125 0.065
Bi 0.875 0.940 0.565
Rh 0.000 0.000 0.000
Rh 0.750 0.250 0.500
Cl 0.250 0.750 0.500
Cl 0.500 0.500 0.000

=====

The lowest energy above the most stable polymorph in this dataset belongs to which entry?
BiRh2Cl